(1)
This record from Alexandria via LeMat-Bulk describes a relaxed structure of Ac5Pu2S12. The functional is PBE.

extended XYZ file:
```
19
Lattice="8.097 -3.870 0.000 8.097 3.870 0.000 -2.829 0.000 9.017" Properties=species:S:1:pos:R:3 pbc="T T T"
Ac 0.000 0.000 0.000
Ac 4.454 0.000 1.259
Ac 3.119 0.000 6.047
Ac 10.246 0.000 2.970
Ac 8.911 0.000 7.758
Pu 6.683 1.942 4.508
Pu 6.683 -1.942 4.508
S -0.887 0.000 2.833
S 14.252 0.000 6.184
S 4.198 1.808 3.753
S 3.028 1.931 8.374
S 10.337 1.931 0.643
S 9.167 1.808 5.264
S 7.207 0.000 2.736
S 6.158 0.000 6.281
S 4.198 -1.808 3.753
S 3.028 -1.931 8.374
S 10.337 -1.931 0.643
S 9.167 -1.808 5.264
```

- SG = C2/m, No. 12
- uncorrected energy (eV/cell) = -134.22

***

(2)
This record from Alexandria via LeMat-Bulk describes a relaxed structure of Ac2PuS3. The functional is PBE.

extended XYZ file:
```
12
Lattice="3.632 -6.290 0.000 3.632 6.290 0.000 -2.424 0.000 6.900" Properties=species:S:1:pos:R:3 pbc="T T T"
Ac 0.000 0.000 0.000
Ac 2.420 4.236 3.450
Ac 2.420 0.000 3.450
Ac 2.420 -4.236 3.450
Pu 3.632 2.105 0.000
Pu 3.632 -2.105 0.000
S 1.260 2.179 1.625
S 0.098 0.000 5.308
S 1.260 -2.179 1.625
S 3.580 2.179 5.275
S 4.742 0.000 1.592
S 3.580 -2.179 5.275
```

- SG = C2/m, No. 12
- uncorrected energy (eV/cell) = -92.69

***

(3)
This record from Alexandria via LeMat-Bulk describes a relaxed structure of AcPuS. The functional is PBE.

extended XYZ file:
```
6
Lattice="4.004 0.000 0.000 0.000 5.582 0.000 0.000 0.000 8.347" Properties=species:S:1:pos:R:3 pbc="T T T"
Ac 1.001 1.395 1.060
Ac 3.003 4.186 7.287
Pu 1.001 1.395 5.241
Pu 3.003 4.186 3.106
S 1.001 4.186 4.999
S 3.003 1.395 3.348
```

- energy relative to the lowest polymorph listed for this composition (kJ per mole of atoms) = 0.0
- SG = Pmmn, No. 59
- uncorrected energy (eV/cell) = -51.21

***

(4)
This record from Alexandria via LeMat-Bulk describes a relaxed structure of Ac5Pu3S8. The functional is PBE.

extended XYZ file:
```
16
Lattice="4.176 2.411 6.889 -4.176 2.411 6.889 0.000 -4.823 6.889" Properties=species:S:1:pos:R:3 pbc="T T T"
Ac 0.000 0.000 0.000
Ac -2.088 -1.206 6.889
Ac -2.088 1.206 13.779
Ac 0.000 2.411 6.889
Ac 0.000 0.000 10.334
Pu -4.176 0.000 10.334
Pu -2.088 1.206 3.445
Pu 2.088 1.206 3.445
S -2.159 -1.246 11.944
S 0.000 0.000 4.997
S 0.000 -2.493 8.725
S -2.159 1.246 8.725
S 2.159 -1.246 11.944
S 0.000 2.493 11.944
S 0.000 0.000 15.672
S 2.159 1.246 8.725
```

- SG = R-3m, No. 166
- uncorrected energy (eV/cell) = -126.79

***

(5)
This record from Alexandria via LeMat-Bulk describes a relaxed structure of Ac5PuS6. The functional is PBE.

extended XYZ file:
```
12
Lattice="3.684 -6.389 0.000 3.684 6.389 0.000 -2.467 0.000 6.964" Properties=species:S:1:pos:R:3 pbc="T T T"
Ac 0.000 0.000 0.000
Ac 2.450 4.267 3.482
Ac 3.684 2.169 0.000
Ac 3.684 -2.169 0.000
Ac 2.450 -4.267 3.482
Pu 2.450 0.000 3.482
S 1.272 2.054 1.807
S 0.085 0.000 5.188
S 1.272 -2.054 1.807
S 3.628 2.054 5.157
S 4.816 0.000 1.776
S 3.628 -2.054 5.157
```

- SG = C2/m, No. 12
- uncorrected energy (eV/cell) = -83.06

***

(6)
This record from Alexandria via LeMat-Bulk describes a relaxed structure of AcPu5S6. The functional is PBE.

extended XYZ file:
```
12
Lattice="3.492 -6.041 0.000 3.492 6.041 0.000 -2.329 0.000 6.583" Properties=species:S:1:pos:R:3 pbc="T T T"
Ac 0.000 0.000 0.000
Pu 2.327 4.071 3.292
Pu 3.492 2.022 0.000
Pu 2.327 0.000 3.292
Pu 3.492 -2.022 0.000
Pu 2.327 -4.071 3.292
S 1.216 2.101 1.714
S 0.105 0.000 4.894
S 1.216 -2.101 1.714
S 3.438 2.101 4.869
S 4.550 0.000 1.689
S 3.438 -2.101 4.869
```

- SG = C2/m, No. 12
- uncorrected energy (eV/cell) = -121.87

***

no.,total magnetic moment (μB per atom),formation energy without anion corrections (eV per atom)
1,0.3684,-1.87
2,0.9664,-1.90
3,1.9906,-1.01
4,1.0809,-1.89
5,0.4967,-1.95
6,2.3764,-1.78